1.
Computed, not measured: an optimized crystal structure of Rb2As2PdPt at the PBE-GGA level of DFT.

Computed properties:
V = 822 Å³ per cell
ρ = 5028 kg/m3
Calculated formation energy = -0.40 eV/atom

a b c (Å): 6.2199 20.6035 6.4146
angles (deg): 90.00 90.00 90.00
Space group Ibam (No. 72)
Symmetry-distinct sites (fractional):
Rb: 0.2479 0.1451 0.0000 x8
As: 0.2446 0.4428 0.0000 x8
Pd: 0.0000 0.0000 0.2500 x4
Pt: 0.0000 0.5000 0.2500 x4

2.
Computed, not measured: an optimized crystal structure of Sb2AsPdPt at the PBE-GGA level of DFT.

Computed properties:
ΔE_f (raw) = 0.58 eV per atom
V = 132 Å³ per cell
ρ = 7783 kg/m3

a b c (Å): 5.0851 5.0851 5.1149
angles (deg): 90.00 90.00 90.00
Space group P4/mmm (No. 123)
Symmetry-distinct sites (fractional):
Sb: 0.0000 0.5000 0.0000 x2
As: 0.0000 0.0000 0.5000 x1
Pd: 0.5000 0.5000 0.5000 x1
Pt: 0.5000 0.5000 0.0000 x1

3.
Computed, not measured: an optimized crystal structure of AsPdPtSe2 at the PBE-GGA level of DFT.

Computed properties:
ΔE_f (raw) = 0.68 eV per atom
V = 121 Å³ per cell
Energy above the lowest structure with this stoichiometry = 0.0 meV per atom
ρ = 7322 kg/m3

a b c (Å): 5.0912 5.0912 4.6754
angles (deg): 90.00 90.00 90.00
Space group P4/mmm (No. 123)
Symmetry-distinct sites (fractional):
As: 0.0000 0.0000 0.0000 x1
Pd: 0.5000 0.5000 0.0000 x1
Pt: 0.0000 0.0000 0.5000 x1
Se: 0.0000 0.5000 0.5000 x2

4.
Computed, not measured: an optimized crystal structure of Sm2As4Pd3Pt at the PBE-GGA level of DFT.

Computed properties:
V = 195 Å³ per cell
ρ = 9505 kg/m3
Calculated formation energy = -0.84 eV/atom

a b c (Å): 4.4317 4.4317 9.9166
angles (deg): 90.00 90.00 90.00
Space group P-4m2 (No. 115)
Symmetry-distinct sites (fractional):
Sm: 0.0000 0.5000 0.2499 x2
As: 0.0000 0.0000 0.0000 x1
As: 0.0000 0.5000 0.6309 x2
As: 0.5000 0.5000 0.0000 x1
Pd: 0.0000 0.5000 0.8770 x2
Pd: 0.5000 0.5000 0.5000 x1
Pt: 0.0000 0.0000 0.5000 x1

> Among the records above, which one has the highest ρ?

Sm2As4Pd3Pt

Please write out number 3 again, unchanged.
Computed, not measured: an optimized crystal structure of AsPdPtSe2 at the PBE-GGA level of DFT.

Computed properties:
ΔE_f (raw) = 0.68 eV per atom
V = 121 Å³ per cell
Energy above the lowest structure with this stoichiometry = 0.0 meV per atom
ρ = 7322 kg/m3

a b c (Å): 5.0912 5.0912 4.6754
angles (deg): 90.00 90.00 90.00
Space group P4/mmm (No. 123)
Symmetry-distinct sites (fractional):
As: 0.0000 0.0000 0.0000 x1
Pd: 0.5000 0.5000 0.0000 x1
Pt: 0.0000 0.0000 0.5000 x1
Se: 0.0000 0.5000 0.5000 x2

> Look up the ρ of the third one.

7322 kg/m3

Copy entry 1 word for word.
Computed, not measured: an optimized crystal structure of Rb2As2PdPt at the PBE-GGA level of DFT.

Computed properties:
V = 822 Å³ per cell
ρ = 5028 kg/m3
Calculated formation energy = -0.40 eV/atom

a b c (Å): 6.2199 20.6035 6.4146
angles (deg): 90.00 90.00 90.00
Space group Ibam (No. 72)
Symmetry-distinct sites (fractional):
Rb: 0.2479 0.1451 0.0000 x8
As: 0.2446 0.4428 0.0000 x8
Pd: 0.0000 0.0000 0.2500 x4
Pt: 0.0000 0.5000 0.2500 x4